Entry i
Tb2PrSn | PBE | relaxed

total magnetization: 0.00 μB/cell
D(E_F): 17.62 states/eV per cell

Unit cell a=5.4900 b=12.9960 c=6.9422 alpha=90.00 beta=90.00 gamma=90.00
Space group Cmcm (No. 63)
Symmetry-distinct sites (fractional):
Tb1 0.0000 0.1327 0.0201 (multiplicity 8)
Pr1 0.0000 0.4312 0.2500 (multiplicity 4)
Sn1 0.0000 0.3244 0.7500 (multiplicity 4)

=====

Entry ii
Tb2PrSn | PBE | relaxed

total magnetization: 0.00 μB/cell
D(E_F): 4.45 states/eV per cell

Unit cell a=4.1011 b=4.1011 c=7.1455 alpha=90.00 beta=90.00 gamma=90.00
Space group P4/mmm (No. 123)
Symmetry-distinct sites (fractional):
Tb1 0.0000 0.0000 0.2161 (multiplicity 2)
Pr1 0.5000 0.5000 0.5000 (multiplicity 1)
Sn1 0.5000 0.5000 0.0000 (multiplicity 1)

=====

Entry iii
Tb2PrSn | PBE | relaxed

total magnetization: 0.02 μB/cell
D(E_F): 27.11 states/eV per cell

Unit cell a=7.7753 b=7.7753 c=7.7753 alpha=90.00 beta=90.00 gamma=90.00
Space group F-43m (No. 216)
Symmetry-distinct sites (fractional):
Tb1 0.0000 0.0000 0.0000 (multiplicity 4)
Tb2 0.2500 0.2500 0.2500 (multiplicity 4)
Pr1 0.0000 0.0000 0.5000 (multiplicity 4)
Sn1 0.2500 0.2500 0.7500 (multiplicity 4)

=====

entry ii has the most favorable energy; the next structure is 10 meV/atom above.

=====

Entry i
Tb2PrSn | PBE | relaxed

total magnetization: 0.00 μB/cell
D(E_F): 10.29 states/eV per cell

Unit cell a=4.7152 b=4.7491 c=11.5684 alpha=90.00 beta=101.66 gamma=90.00
Space group P2_1/m (No. 11)
Symmetry-distinct sites (fractional):
Tb1 0.0589 0.2500 0.1180 (multiplicity 2)
Tb2 0.4367 0.2500 0.8729 (multiplicity 2)
Pr1 0.1921 0.7500 0.3872 (multiplicity 2)
Sn1 0.3398 0.7500 0.6747 (multiplicity 2)

=====

Entry ii
Tb2PrSn | PBE | relaxed

total magnetization: 0.00 μB/cell
D(E_F): 5.13 states/eV per cell

Unit cell a=4.8983 b=4.8983 c=4.8560 alpha=90.00 beta=90.00 gamma=90.00
Space group P4/mmm (No. 123)
Symmetry-distinct sites (fractional):
Tb1 0.0000 0.5000 0.0000 (multiplicity 2)
Pr1 0.0000 0.0000 0.5000 (multiplicity 1)
Sn1 0.5000 0.5000 0.5000 (multiplicity 1)

=====

entry ii has the most favorable energy; the next structure is 14 meV/atom above.

=====

Entry i
TbPr2Sn2 | PBE | relaxed

total magnetization: 0.00 μB/cell
D(E_F): 9.96 states/eV per cell

Unit cell a=8.2176 b=8.2176 c=4.5916 alpha=90.00 beta=90.00 gamma=90.00
Space group P4/mbm (No. 127)
Symmetry-distinct sites (fractional):
Tb1 0.0000 0.0000 0.0000 (multiplicity 2)
Pr1 0.1719 0.3281 0.5000 (multiplicity 4)
Sn1 0.1299 0.6299 0.0000 (multiplicity 4)

=====

Entry ii
TbPr2Sn2 | PBE | relaxed

total magnetization: 0.00 μB/cell
D(E_F): 15.98 states/eV per cell

Unit cell a=12.9150 b=4.8134 c=11.3525 alpha=90.00 beta=116.84 gamma=90.00
Space group C2/m (No. 12)
Symmetry-distinct sites (fractional):
Tb1 0.2139 0.0000 0.3564 (multiplicity 4)
Pr1 0.0115 0.5000 0.6801 (multiplicity 4)
Pr2 0.1829 0.5000 0.0923 (multiplicity 4)
Sn1 0.0347 0.0000 0.8905 (multiplicity 4)
Sn2 0.1280 0.0000 0.5735 (multiplicity 4)

=====

entry i has the most favorable energy; the next structure is 83 meV/atom above.

=====

Entry i
TbPrSn | PBE | relaxed

total magnetization: 1.33 μB/cell
D(E_F): 13.57 states/eV per cell

Unit cell a=4.6706 b=4.6706 c=17.2242 alpha=90.00 beta=90.00 gamma=90.00
Space group I4/mmm (No. 139)
Symmetry-distinct sites (fractional):
Tb1 0.0000 0.5000 0.0000 (multiplicity 4)
Pr1 0.0000 0.0000 0.1771 (multiplicity 4)
Sn1 0.0000 0.0000 0.3676 (multiplicity 4)

=====

Entry ii
TbPrSn | PBE | relaxed

total magnetization: 0.00 μB/cell
D(E_F): 2.29 states/eV per cell

Unit cell a=5.1814 b=5.1814 c=3.9853 alpha=90.00 beta=90.00 gamma=120.00
Space group P3m1 (No. 156)
Symmetry-distinct sites (fractional):
Tb1 0.0000 0.0000 0.0000 (multiplicity 1)
Pr1 0.6667 0.3333 0.5559 (multiplicity 1)
Sn1 0.3333 0.6667 0.2037 (multiplicity 1)

=====

entry i has the most favorable energy; the next structure is 243 meV/atom above.

=====

Entry i
TbPrSn | PBE | relaxed

total magnetization: 0.00 μB/cell
D(E_F): 13.92 states/eV per cell

Unit cell a=7.4292 b=7.4292 c=7.4292 alpha=90.00 beta=90.00 gamma=90.00
Space group F-43m (No. 216)
Symmetry-distinct sites (fractional):
Tb1 0.0000 0.0000 0.0000 (multiplicity 4)
Pr1 0.0000 0.0000 0.5000 (multiplicity 4)
Sn1 0.2500 0.2500 0.7500 (multiplicity 4)

=====

Entry ii
TbPrSn | PBE | relaxed

total magnetization: 0.51 μB/cell
D(E_F): 5.98 states/eV per cell

Unit cell a=4.1590 b=4.1590 c=10.0963 alpha=90.00 beta=90.00 gamma=90.00
Space group P4/nmm (No. 129, origin choice 2)
Symmetry-distinct sites (fractional):
Tb1 0.2500 0.2500 0.0918 (multiplicity 2)
Pr1 0.2500 0.2500 0.4050 (multiplicity 2)
Sn1 0.2500 0.2500 0.7610 (multiplicity 2)

=====

entry ii has the most favorable energy; the next structure is 49 meV/atom above.

=====

Entry i
TbPr2Sn | PBE | relaxed

total magnetization: 0.00 μB/cell
D(E_F): 22.25 states/eV per cell

Unit cell a=3.4912 b=27.4971 c=5.6910 alpha=90.00 beta=90.00 gamma=90.00
Space group Cmcm (No. 63)
Symmetry-distinct sites (fractional):
Tb1 0.0000 0.0275 0.2500 (multiplicity 4)
Pr1 0.0000 0.0944 0.7500 (multiplicity 4)
Pr2 0.0000 0.1887 0.2500 (multiplicity 4)
Sn1 0.0000 0.3046 0.2500 (multiplicity 4)

=====

Entry ii
TbPr2Sn | PBE | relaxed

total magnetization: 0.00 μB/cell
D(E_F): 12.17 states/eV per cell

Unit cell a=3.5950 b=3.5950 c=36.9282 alpha=90.00 beta=90.00 gamma=120.00
Space group R-3m (No. 166, hexagonal axes)
Symmetry-distinct sites (fractional):
Tb1 0.0000 0.0000 0.0000 (multiplicity 3)
Pr1 0.0000 0.0000 0.4128 (multiplicity 6)
Sn1 0.0000 0.0000 0.5000 (multiplicity 3)

=====

Entry iii
TbPr2Sn | PBE | relaxed

total magnetization: 0.00 μB/cell
D(E_F): 4.07 states/eV per cell

Unit cell a=4.9091 b=4.9091 c=4.9996 alpha=90.00 beta=90.00 gamma=90.00
Space group P4/mmm (No. 123)
Symmetry-distinct sites (fractional):
Tb1 0.0000 0.0000 0.0000 (multiplicity 1)
Pr1 0.0000 0.5000 0.5000 (multiplicity 2)
Sn1 0.5000 0.5000 0.0000 (multiplicity 1)

=====

entry iii has the most favorable energy; the next structure is 368 meV/atom above.

=====

Entry i
Tb3Pr2Sn4 | PBE | relaxed

total magnetization: 0.00 μB/cell
D(E_F): 19.50 states/eV per cell

Unit cell a=7.0760 b=17.2708 c=8.9955 alpha=90.00 beta=90.00 gamma=90.00
Space group Cmce (No. 64)
Symmetry-distinct sites (fractional):
Tb1 0.0000 0.0000 0.0000 (multiplicity 4)
Tb2 0.2500 0.2067 0.2500 (multiplicity 8)
Pr1 0.0000 0.1107 0.5891 (multiplicity 8)
Sn1 0.0000 0.1859 0.9445 (multiplicity 8)
Sn2 0.2500 0.0310 0.2500 (multiplicity 8)

=====

Entry ii
Tb3Pr2Sn4 | PBE | relaxed

total magnetization: 0.00 μB/cell
D(E_F): 14.89 states/eV per cell

Unit cell a=8.3803 b=8.3970 c=8.0908 alpha=90.00 beta=110.17 gamma=90.00
Space group P2_1/c (No. 14)
Symmetry-distinct sites (fractional):
Tb1 0.0000 0.0000 0.0000 (multiplicity 2)
Tb2 0.2526 0.1689 0.7570 (multiplicity 4)
Pr1 0.3072 0.6777 0.9355 (multiplicity 4)
Sn1 0.0112 0.6342 0.1362 (multiplicity 4)
Sn2 0.4179 0.0391 0.1558 (multiplicity 4)

=====

entry ii has the most favorable energy; the next structure is 164 meV/atom above.

=====

Entry i
TbPr3Sn2 | PBE | relaxed

total magnetization: 0.00 μB/cell
D(E_F): 7.94 states/eV per cell

Unit cell a=4.6739 b=4.6739 c=8.7966 alpha=90.00 beta=90.00 gamma=90.00
Space group P-4m2 (No. 115)
Symmetry-distinct sites (fractional):
Tb1 0.0000 0.0000 0.0000 (multiplicity 1)
Pr1 0.0000 0.5000 0.3504 (multiplicity 2)
Pr2 0.5000 0.5000 0.0000 (multiplicity 1)
Sn1 0.0000 0.5000 0.7242 (multiplicity 2)

=====

Entry ii
TbPr3Sn2 | PBE | relaxed

total magnetization: 0.00 μB/cell
D(E_F): 16.78 states/eV per cell

Unit cell a=3.5226 b=5.8504 c=18.7584 alpha=90.00 beta=90.00 gamma=90.00
Space group Immm (No. 71)
Symmetry-distinct sites (fractional):
Tb1 0.0000 0.0000 0.0000 (multiplicity 2)
Pr1 0.0000 0.0000 0.1780 (multiplicity 4)
Pr2 0.0000 0.5000 0.0000 (multiplicity 2)
Sn1 0.0000 0.0000 0.3466 (multiplicity 4)

=====

entry i has the most favorable energy; the next structure is 453 meV/atom above.

=====

Entry i
Pr2SnTe | PBE | relaxed

total magnetization: 0.38 μB/cell
D(E_F): 3.69 states/eV per cell

Unit cell a=3.7757 b=3.7757 c=8.4136 alpha=90.00 beta=90.00 gamma=90.00
Space group P4/mmm (No. 123)
Symmetry-distinct sites (fractional):
Pr1 0.0000 0.0000 0.2430 (multiplicity 2)
Sn1 0.5000 0.5000 0.5000 (multiplicity 1)
Te1 0.5000 0.5000 0.0000 (multiplicity 1)

=====

Entry ii
Pr2SnTe | PBE | relaxed

total magnetization: 0.00 μB/cell
D(E_F): 2.24 states/eV per cell

Unit cell a=4.5418 b=6.4356 c=9.1761 alpha=90.00 beta=90.00 gamma=90.00
Space group Pmmn (No. 59, origin choice 2)
Symmetry-distinct sites (fractional):
Pr1 0.2500 0.2500 0.1219 (multiplicity 2)
Pr2 0.2500 0.2500 0.6332 (multiplicity 2)
Sn1 0.2500 0.7500 0.1258 (multiplicity 2)
Te1 0.2500 0.7500 0.6224 (multiplicity 2)

=====

Entry iii
Pr2SnTe | PBE | relaxed

total magnetization: 0.00 μB/cell
D(E_F): 9.35 states/eV per cell

Unit cell a=9.1438 b=18.1393 c=7.8843 alpha=90.00 beta=124.99 gamma=90.00
Space group C2/c (No. 15)
Symmetry-distinct sites (fractional):
Pr1 0.2413 0.0626 0.2448 (multiplicity 8)
Pr2 0.2474 0.1876 0.7450 (multiplicity 8)
Sn1 0.0000 0.0644 0.7500 (multiplicity 4)
Sn2 0.0000 0.1894 0.2500 (multiplicity 4)
Te1 0.0000 0.3141 0.7500 (multiplicity 4)
Te2 0.0000 0.4390 0.2500 (multiplicity 4)

=====

entry iii has the most favorable energy; the next structure is 9 meV/atom above.

=====

Entry i
Pr2SnTe | PBE | relaxed

total magnetization: 0.00 μB/cell
D(E_F): 6.87 states/eV per cell

Unit cell a=4.5010 b=4.5010 c=23.4620 alpha=90.00 beta=90.00 gamma=120.00
Space group R3m (No. 160, hexagonal axes)
Symmetry-distinct sites (fractional):
Pr1 0.0000 0.0000 0.0000 (multiplicity 3)
Pr2 0.0000 0.0000 0.1782 (multiplicity 3)
Sn1 0.0000 0.0000 0.5884 (multiplicity 3)
Te1 0.0000 0.0000 0.7576 (multiplicity 3)

=====

Entry ii
Pr2SnTe | PBE | relaxed

total magnetization: 0.00 μB/cell
D(E_F): 4.45 states/eV per cell

Unit cell a=4.5494 b=4.5494 c=22.4937 alpha=90.00 beta=90.00 gamma=120.00
Space group R-3m (No. 166, hexagonal axes)
Symmetry-distinct sites (fractional):
Pr1 0.0000 0.0000 0.2471 (multiplicity 6)
Sn1 0.0000 0.0000 0.5000 (multiplicity 3)
Te1 0.0000 0.0000 0.0000 (multiplicity 3)

=====

entry ii has the most favorable energy; the next structure is 87 meV/atom above.

=====

Entry i
Pr2ThSn | PBE | relaxed

total magnetization: 0.00 μB/cell
D(E_F): 11.31 states/eV per cell

Unit cell a=3.6077 b=3.6077 c=36.6294 alpha=90.00 beta=90.00 gamma=120.00
Space group R-3m (No. 166, hexagonal axes)
Symmetry-distinct sites (fractional):
Pr1 0.0000 0.0000 0.0882 (multiplicity 6)
Th1 0.0000 0.0000 0.5000 (multiplicity 3)
Sn1 0.0000 0.0000 0.0000 (multiplicity 3)

=====

Entry ii
Pr2ThSn | PBE | relaxed

total magnetization: 0.00 μB/cell
D(E_F): 3.34 states/eV per cell

Unit cell a=5.0042 b=5.0042 c=4.9008 alpha=90.00 beta=90.00 gamma=90.00
Space group P4/mmm (No. 123)
Symmetry-distinct sites (fractional):
Pr1 0.0000 0.5000 0.0000 (multiplicity 2)
Th1 0.0000 0.0000 0.5000 (multiplicity 1)
Sn1 0.5000 0.5000 0.5000 (multiplicity 1)

=====

entry ii has the most favorable energy; the next structure is 446 meV/atom above.